Pm3ErTm | PBE | optimized geometry

Values from the calculation:
symmetry	Cm (8)
formation enthalpy at 0 K	0.0470	eV/atom

Lattice parameters (Å, degrees): 5.6845 7.0715 8.7897 101.45 71.14 90.02
Last column: nearest neighbours and their distance in Å.
Fractional coordinates of all 10 atoms:
Pm1 0.6126 0.7498 0.4926  3 Pm 3.18-3.39, 2 Er 3.48-3.56
Pm2 0.4249 0.1024 0.8685  2 Tm 3.38, 3 Er 3.51-3.57, 5 Pm 3.57-3.59
Pm3 0.9991 0.8093 0.7199  7 Pm 3.39-3.60, 1 Tm 3.54, 2 Er 3.57
Pm4 0.2146 0.9598 0.2893  4 Tm 3.47-3.69, 3 Er 3.70-3.82, 6 Pm 3.71-3.87
Pm5 0.0034 0.3166 0.7116  4 Er 3.38-3.58, 5 Pm 3.47-3.60, 1 Tm 3.58
Pm6 0.8084 0.6531 0.1017  1 Pm 3.18, 2 Er 3.38-3.39, 1 Tm 3.49
Er1 0.6162 0.2562 0.4860  1 Tm 3.19, 4 Pm 3.38-3.57
Er2 0.4213 0.6007 0.8756  9 Pm 3.38-3.58, 1 Er 3.62
Tm1 0.2150 0.4502 0.2884  8 Pm 3.47-3.83, 2 Tm 3.68-3.69, 3 Er 3.69-3.80
Tm2 0.8126 0.1578 0.0935  1 Er 3.19, 4 Pm 3.38-3.54

***

CaBiPb | PBE | optimized geometry

Values from the calculation:
symmetry	P6_222 (180)
energy above the most stable polymorph in this dataset	0.193	eV/atom
formation enthalpy at 0 K	-0.2691	eV/atom

Lattice parameters (Å, degrees): 6.4679 6.4679 17.1619 90.00 90.00 120.00
Last column: nearest neighbours and their distance in Å.
Fractional coordinates of all 18 atoms:
Ca1 0.0000 0.0000 0.5000  6 Bi 3.62-3.97
Ca2 0.0000 0.0000 0.1667  6 Bi 3.62-3.97
Ca3 0.5000 0.5000 0.0000  4 Pb 3.25, 4 Bi 3.49
Ca4 0.0000 0.5000 0.3333  4 Pb 3.25, 4 Bi 3.49
Ca5 0.5000 0.0000 0.6667  4 Pb 3.25, 4 Bi 3.49
Ca6 0.0000 0.0000 0.8333  6 Bi 3.62-3.97
Bi1 0.3540 0.7079 0.1667  4 Pb 3.23-3.57, 1 Bi 3.27, 2 Ca 3.49
Bi2 0.3540 0.6460 0.5000  4 Pb 3.23-3.57, 1 Bi 3.27, 2 Ca 3.49
Bi3 0.6460 0.2921 0.1667  4 Pb 3.23-3.57, 1 Bi 3.27, 2 Ca 3.49
Bi4 0.6460 0.3540 0.5000  4 Pb 3.23-3.57, 1 Bi 3.27, 2 Ca 3.49
Bi5 0.2921 0.6460 0.8333  4 Pb 3.23-3.57, 1 Bi 3.27, 2 Ca 3.49
Bi6 0.7079 0.3540 0.8333  4 Pb 3.23-3.57, 1 Bi 3.27, 2 Ca 3.49
Pb1 0.5000 0.0000 0.3517  4 Bi 3.23-3.57, 2 Ca 3.25, 2 Pb 3.29
Pb2 0.5000 0.5000 0.3150  4 Bi 3.23-3.57, 2 Ca 3.25, 2 Pb 3.29
Pb3 0.0000 0.5000 0.6483  4 Bi 3.23-3.57, 2 Ca 3.25, 2 Pb 3.29
Pb4 0.5000 0.5000 0.6850  4 Bi 3.23-3.57, 2 Ca 3.25, 2 Pb 3.29
Pb5 0.5000 0.0000 0.9816  4 Bi 3.23-3.57, 2 Ca 3.25, 2 Pb 3.29
Pb6 0.0000 0.5000 0.0184  4 Bi 3.23-3.57, 2 Ca 3.25, 2 Pb 3.29

***

Nd2HoAl | PBE | optimized geometry

Values from the calculation:
symmetry	R3m (160)
energy above the most stable polymorph in this dataset	0.162	eV/atom
formation enthalpy at 0 K	-0.0150	eV/atom

Lattice parameters (Å, degrees): 3.6704 3.6704 10.8725 80.28 80.28 60.00
Last column: nearest neighbours and their distance in Å.
Fractional coordinates of all 4 atoms:
Al1 0.6664 0.6664 0.0008  6 Nd 3.16-3.17
Nd1 0.2600 0.2600 0.2200  3 Al 3.16
Nd2 0.0735 0.0735 0.7796  3 Al 3.17
Ho1 0.5001 0.5001 0.4996  6 Nd 3.66, 6 Ho 3.67

***

CaRuSe2 | PBE | optimized geometry

Values from the calculation:
symmetry	R-3m (166)
energy above the most stable polymorph in this dataset	0.730	eV/atom
formation energy from raw total energies	-146	meV/atom

Lattice parameters (Å, degrees): 8.3460 8.3460 8.3460 29.62 29.62 29.62
Last column: nearest neighbours and their distance in Å.
Fractional coordinates of all 4 atoms:
Ca1 0.5000 0.5000 0.5000  6 Se 2.94
Ru1 0.0000 0.0000 0.0000  2 Se 2.39
Se1 0.9002 0.9002 0.9002  1 Ru 2.39
Se2 0.0998 0.0998 0.0998  1 Ru 2.39

***

ErBeP | PBE | optimized geometry

Values from the calculation:
symmetry	P-6m2 (187)
energy above the most stable polymorph in this dataset	0.000	eV/atom
formation enthalpy at 0 K	-0.9946	eV/atom

Lattice parameters (Å, degrees): 3.9475 3.6846 3.6846 120.00 90.00 90.00
Last column: nearest neighbours and their distance in Å.
Fractional coordinates of all 3 atoms:
Er1 0.6668 0.3333 0.6667  6 Be 2.90, 6 P 2.90
Be1 0.1664 0.6667 0.3333  3 P 2.13
P1 0.1668 0.0000 0.0000  3 Be 2.13

***

InPIr | PBE | optimized geometry

Values from the calculation:
symmetry	F-43m (216)
formation enthalpy at 0 K	0.0349	eV/atom

Lattice parameters (Å, degrees): 4.3228 4.3228 4.3228 60.00 60.00 60.00
Last column: nearest neighbours and their distance in Å.
Fractional coordinates of all 3 atoms:
P1 0.0000 0.0000 0.0000  4 Ir 2.65
Ir1 0.7500 0.7500 0.7500  4 In 2.65, 4 P 2.65
In1 0.5000 0.5000 0.5000  4 Ir 2.65

***

Ta2Rh | PBE | optimized geometry

Values from the calculation:
symmetry	Cmcm (63)
formation enthalpy at 0 K	-0.2718	eV/atom

Lattice parameters (Å, degrees): 6.7486 6.7486 4.3565 90.00 90.00 149.29
Last column: nearest neighbours and their distance in Å.
Fractional coordinates of all 6 atoms:
Ta1 0.5799 0.4201 0.2500  6 Rh 2.72-2.82, 4 Ta 2.87-3.01
Ta2 0.2519 0.7481 0.2500  8 Ta 2.82-3.09, 4 Rh 2.85-3.15
Ta3 0.4201 0.5799 0.7500  6 Rh 2.72-2.82, 4 Ta 2.87-3.01
Ta4 0.7481 0.2519 0.7500  8 Ta 2.82-3.09, 4 Rh 2.85-3.15
Rh1 0.0772 0.9228 0.7500  8 Ta 2.72-2.85, 2 Rh 2.96
Rh2 0.9228 0.0772 0.2500  8 Ta 2.72-2.85, 2 Rh 2.96

***

KLaGa2 | PBE | optimized geometry

Values from the calculation:
symmetry	Fm-3m (225)
energy above the most stable polymorph in this dataset	0.000	eV/atom
formation enthalpy at 0 K	-0.0315	eV/atom

Lattice parameters (Å, degrees): 5.7789 5.7789 5.7789 60.00 60.00 60.00
Last column: nearest neighbours and their distance in Å.
Fractional coordinates of all 4 atoms:
Ga1 0.2500 0.2500 0.2500  4 La 3.54, 4 K 3.54
Ga2 0.7500 0.7500 0.7500  4 K 3.54, 4 La 3.54
K1 0.0000 0.0000 0.0000  8 Ga 3.54
La1 0.5000 0.5000 0.5000  8 Ga 3.54

***

SnRhCl | PBE | optimized geometry

Values from the calculation:
symmetry	Pmn2_1 (31)
formation energy from raw total energies	-465	meV/atom

Lattice parameters (Å, degrees): 6.2076 6.7400 6.7395 113.22 90.00 90.00
Last column: nearest neighbours and their distance in Å.
Fractional coordinates of all 12 atoms:
Cl1 0.8671 0.6598 0.5902  3 Rh 2.52-2.69
Cl2 0.3671 0.3402 0.4098  3 Rh 2.52-2.69
Cl3 0.8671 0.1598 0.0902  3 Rh 2.52-2.69
Cl4 0.3671 0.8402 0.9098  3 Rh 2.52-2.69
Sn1 0.6407 0.1352 0.6148  3 Rh 2.55-2.57
Sn2 0.6406 0.6351 0.1149  3 Rh 2.55-2.57
Sn3 0.1406 0.3649 0.8851  3 Rh 2.55-2.57
Sn4 0.1407 0.8648 0.3852  3 Rh 2.55-2.57
Rh1 0.9941 0.7513 0.9988  3 Cl 2.52-2.69, 3 Sn 2.55-2.57
Rh2 0.4941 0.2487 0.0012  3 Cl 2.52-2.69, 3 Sn 2.55-2.57
Rh3 0.4941 0.7488 0.5013  3 Cl 2.52-2.69, 3 Sn 2.55-2.57
Rh4 0.9941 0.2512 0.4987  3 Cl 2.52-2.69, 3 Sn 2.55-2.57

***

Rb3PtAu | PBE | optimized geometry

Values from the calculation:
symmetry	Pm-3m (221)
energy above the most stable polymorph in this dataset	0.128	eV/atom
formation enthalpy at 0 K	0.0045	eV/atom

Lattice parameters (Å, degrees): 6.3354 6.3354 6.3354 90.00 90.00 90.00
Last column: nearest neighbours and their distance in Å.
Fractional coordinates of all 5 atoms:
Rb1 0.0000 0.0000 0.5000  2 Pt 3.17
Rb2 0.5000 0.0000 0.0000  2 Pt 3.17
Rb3 0.0000 0.5000 0.0000  2 Pt 3.17
Pt1 0.0000 0.0000 0.0000  6 Rb 3.17
Au1 0.5000 0.5000 0.5000  12 Rb 4.48

***

CaFeSeN2 | PBE | optimized geometry

Values from the calculation:
symmetry	P4/mmm (123)
energy above the most stable polymorph in this dataset	0.000	eV/atom
formation energy from raw total energies	97	meV/atom

Lattice parameters (Å, degrees): 3.7729 3.7729 5.1499 90.00 90.00 90.00
Last column: nearest neighbours and their distance in Å.
Fractional coordinates of all 5 atoms:
Fe1 0.0000 0.0000 0.0000  4 N 1.89
Se1 0.0000 0.0000 0.5000  2 Fe 2.57, 4 Ca 2.67
N1 0.5000 0.0000 0.0000  2 Fe 1.89
N2 0.0000 0.5000 0.0000  2 Fe 1.89
Ca1 0.5000 0.5000 0.5000  4 Se 2.67

***

HfTePI2 | PBE | optimized geometry

Values from the calculation:
symmetry	P4/mmm (123)
energy above the most stable polymorph in this dataset	0.466	eV/atom
formation energy from raw total energies	729	meV/atom

Lattice parameters (Å, degrees): 5.2473 5.2473 5.4499 90.00 90.00 90.00
Last column: nearest neighbours and their distance in Å.
Fractional coordinates of all 5 atoms:
I1 0.5000 0.0000 0.0000  2 P 2.62
I2 0.0000 0.5000 0.0000  2 P 2.62
Te1 0.0000 0.0000 0.5000  2 P 2.72
Hf1 0.5000 0.5000 0.5000  4 Te 3.71, 8 I 3.78
P1 0.0000 0.0000 0.0000  4 I 2.62, 2 Te 2.72

***

Pr5Ag4Sn | PBE | optimized geometry

Values from the calculation:
symmetry	P4/mmm (123)
formation enthalpy at 0 K	-0.3306	eV/atom

Lattice parameters (Å, degrees): 3.7364 3.7364 19.7239 90.00 90.00 90.00
Last column: nearest neighbours and their distance in Å.
Fractional coordinates of all 10 atoms:
Ag1 0.0000 0.0000 0.5990  8 Pr 3.27-3.29
Ag2 0.0000 0.0000 0.7911  8 Pr 3.23-3.33
Ag3 0.0000 0.0000 0.2089  8 Pr 3.23-3.33
Ag4 0.0000 0.0000 0.4010  8 Pr 3.27-3.29
Pr1 0.5000 0.5000 0.3035  8 Ag 3.23-3.27
Pr2 0.5000 0.5000 0.1059  4 Ag 3.33, 4 Sn 3.37
Pr3 0.5000 0.5000 0.8941  4 Ag 3.33, 4 Sn 3.37
Pr4 0.5000 0.5000 0.6965  8 Ag 3.23-3.27
Pr5 0.5000 0.5000 0.5000  8 Ag 3.29
Sn1 0.0000 0.0000 0.0000  8 Pr 3.37, 4 Sn 3.74